## CsCo3Sn (PBE)

Data for CsCo3Sn after structural relaxation.

The structure in CIF format:
```
data_CsCo3Sn
_cell_length_a 4.8002
_cell_length_b 4.8002
_cell_length_c 4.8002
_cell_angle_alpha 90.00
_cell_angle_beta 90.00
_cell_angle_gamma 90.00
_space_group_name_H-M_alt 'P 1'
_space_group_IT_number 1
loop_
_space_group_symop_operation_xyz
'x,y,z'
loop_
_atom_site_label
_atom_site_type_symbol
_atom_site_fract_x
_atom_site_fract_y
_atom_site_fract_z
Co1 Co 0.0000 0.0000 0.5000
Co2 Co 0.0000 0.5000 0.0000
Co3 Co 0.5000 0.0000 0.0000
Cs1 Cs 0.0000 0.0000 0.0000
Sn1 Sn 0.5000 0.5000 0.5000
```

final energy = -3.023 eV/atom
ρ = 6.4 g/cm³
ΔH_f (0 K) = 2212 meV per atom

***

## CsTiCoSn2 (PBE)

Data for CsTiCoSn2 after structural relaxation.

The structure in CIF format:
```
data_CsTiCoSn2
_cell_length_a 6.0301
_cell_length_b 4.7459
_cell_length_c 6.0301
_cell_angle_alpha 90.00
_cell_angle_beta 90.00
_cell_angle_gamma 90.00
_space_group_name_H-M_alt 'P 1'
_space_group_IT_number 1
loop_
_space_group_symop_operation_xyz
'x,y,z'
loop_
_atom_site_label
_atom_site_type_symbol
_atom_site_fract_x
_atom_site_fract_y
_atom_site_fract_z
Co1 Co 0.0000 0.5000 0.0000
Cs1 Cs 0.0000 0.0000 0.0000
Ti1 Ti 0.5000 0.5000 0.5000
Sn1 Sn 0.0000 0.0000 0.5000
Sn2 Sn 0.5000 0.0000 0.0000
```

final energy = -2.734 eV/atom
ρ = 4.6 g/cm³
ΔH_f (0 K) = 2038 meV per atom

***

## CsSr2Co (PBE)

Data for CsSr2Co after structural relaxation.

The structure in CIF format:
```
data_CsSr2Co
_cell_length_a 6.0354
_cell_length_b 6.0354
_cell_length_c 6.0354
_cell_angle_alpha 60.00
_cell_angle_beta 60.00
_cell_angle_gamma 60.00
_space_group_name_H-M_alt 'P 1'
_space_group_IT_number 1
loop_
_space_group_symop_operation_xyz
'x,y,z'
loop_
_atom_site_label
_atom_site_type_symbol
_atom_site_fract_x
_atom_site_fract_y
_atom_site_fract_z
Sr1 Sr 0.2500 0.2500 0.2500
Sr2 Sr 0.7500 0.7500 0.7500
Cs1 Cs 0.5000 0.5000 0.5000
Co1 Co 0.0000 0.0000 0.0000
```

final energy = -2.060 eV/atom
ρ = 3.9 g/cm³
ΔH_f (0 K) = 771 meV per atom
offset from the most stable computed form = 216.1 meV/atom

***

## CsSrCo2 (PBE)

Data for CsSrCo2 after structural relaxation.

The structure in CIF format:
```
data_CsSrCo2
_cell_length_a 5.4619
_cell_length_b 5.4619
_cell_length_c 5.4619
_cell_angle_alpha 60.00
_cell_angle_beta 60.00
_cell_angle_gamma 60.00
_space_group_name_H-M_alt 'P 1'
_space_group_IT_number 1
loop_
_space_group_symop_operation_xyz
'x,y,z'
loop_
_atom_site_label
_atom_site_type_symbol
_atom_site_fract_x
_atom_site_fract_y
_atom_site_fract_z
Sr1 Sr 0.0000 0.0000 0.0000
Cs1 Cs 0.5000 0.5000 0.5000
Co1 Co 0.7500 0.7500 0.7500
Co2 Co 0.2500 0.2500 0.2500
```

final energy = -2.955 eV/atom
ρ = 4.9 g/cm³
ΔH_f (0 K) = 1232 meV per atom